No. 1
Density functional theory data (PBE) for an optimized crystal structure of Y3Er3Tm4.

The space group is Amm2 (No. 38) and the conventional cell measures 3.672, 13.056 and 13.054 Å, with angles of 90.00, 90.00 and 90.00 degrees. The asymmetric unit holds Y at (0.000, 0.000, 0.000), Y at (0.000, 0.173, 0.328), Er at (0.000, 0.000, 0.655), Er at (0.500, 0.249, 0.578), Tm at (0.500, 0.000, 0.202), Tm at (0.500, 0.000, 0.454) and Tm at (0.500, 0.125, 0.826).

The density is 7.7 g/cm³. As for the formation energy: 94 meV/atom. For the density of states at the Fermi level, the calculation gives 16.4 states/eV per cell.

---

No. 2
Density functional theory data (PBE) for an optimized crystal structure of YEr5Tm3.

The space group is C2/c (No. 15) and the conventional cell measures 16.049, 8.803 and 10.841 Å, with angles of 90.00, 132.10 and 90.00 degrees. The asymmetric unit holds Y at (0.000, 0.168, 0.250), Er at (0.000, 0.278, 0.750), Er at (0.097, 0.118, 0.621), Er at (0.183, 0.213, 0.161), Tm at (0.000, 0.500, 0.000) and Tm at (0.215, 0.457, 0.465).

The density is 8.4 g/cm³. As for the formation energy: 239 meV/atom. For the density of states at the Fermi level, the calculation gives 57.2 states/eV per cell.

---

No. 3
Density functional theory data (PBE) for an optimized crystal structure of Y3Er3Tm2.

The space group is R32 (No. 155, hexagonal axes) and the conventional cell measures 9.0514, 9.0514 and 11.0821 Å, with angles of 90.00, 90.00 and 120.00 degrees. The asymmetric unit holds Y at (0.0000, 0.2508, 0.0000), Er at (0.0000, 0.7505, 0.5000) and Tm at (0.0000, 0.0000, 0.2513).

The density is 7.0 g/cm³. As for the formation energy: 247 meV/atom. For the density of states at the Fermi level, the calculation gives 40.9 states/eV per cell.

---

No. 4
Density functional theory data (PBE) for an optimized crystal structure of YEr8Tm2.

The space group is C2/m (No. 12) and the conventional cell measures 9.055, 16.608 and 5.854 Å, with angles of 90.00, 128.00 and 90.00 degrees. The asymmetric unit holds Y at (0.000, 0.000, 0.000), Er at (0.000, 0.203, 0.000), Er at (0.038, 0.500, 0.776), Er at (0.224, 0.127, 0.709) and Tm at (0.000, 0.311, 0.500).

The density is 8.4 g/cm³. As for the formation energy: 155 meV/atom. For the density of states at the Fermi level, the calculation gives 28.1 states/eV per cell.

---

No. 5
Density functional theory data (PBE) for an optimized crystal structure of Y19Er4Tm6.

The space group is I23 (No. 197) and the conventional cell measures 12.448, 12.448 and 12.448 Å, with angles of 90.00, 90.00 and 90.00 degrees. The asymmetric unit holds Y at (0.000, 0.000, 0.000), Y at (0.000, 0.000, 0.263), Y at (0.063, 0.266, 0.278), Er at (0.178, 0.178, 0.822) and Tm at (0.000, 0.375, 0.500).

The density is 5.8 g/cm³. As for the formation energy: 389 meV/atom. For the density of states at the Fermi level, the calculation gives 94.6 states/eV per cell.

---

No. 6
Density functional theory data (PBE) for an optimized crystal structure of Y2Er5Tm4.

The space group is C2/m (No. 12) and the conventional cell measures 23.550, 3.493 and 8.465 Å, with angles of 90.00, 94.76 and 90.00 degrees. The asymmetric unit holds Y at (0.224, 0.000, 0.327), Er at (0.000, 0.000, 0.500), Er at (0.129, 0.500, 0.545), Er at (0.184, 0.500, 0.972), Tm at (0.039, 0.500, 0.843) and Tm at (0.087, 0.000, 0.190).

The density is 8.1 g/cm³. As for the formation energy: 102 meV/atom. For the density of states at the Fermi level, the calculation gives 37.2 states/eV per cell.

---

| no. | M_tot (μB/cell) |
| --- | --- |
| 1 | 0.01 |
| 2 | 0.00 |
| 3 | 21.22 |
| 4 | 0.00 |
| 5 | 0.64 |
| 6 | 0.00 |